## P
Here is an optimized crystal structure of BaSn3Hg from Alexandria via LeMat-Bulk. Energies are from GGA-PBE.

Structure (extended XYZ):
```
5
Lattice="5.693 0.000 0.000 0.000 5.693 0.000 0.000 0.000 5.693" Properties=species:S:1:pos:R:3 pbc="T T T"
Ba 0.000 0.000 0.000
Sn 0.000 2.846 2.846
Sn 2.846 0.000 2.846
Sn 2.846 2.846 0.000
Hg 2.846 2.846 2.846
```

Output
Spin magnetization = 0.00 Bohr magnetons per cell
Symmetry = Pm-3m, No. 221
D(E_F) = 3.2 states/eV per cell

## Q
Here is an optimized crystal structure of BaSn3Hg from Alexandria via LeMat-Bulk. Energies are from GGA-PBE.

Structure (extended XYZ):
```
5
Lattice="6.342 0.000 0.000 0.000 6.342 0.000 0.000 0.000 6.342" Properties=species:S:1:pos:R:3 pbc="T T T"
Ba 0.000 0.000 0.000
Sn 0.000 0.000 3.171
Sn 0.000 3.171 0.000
Sn 3.171 0.000 0.000
Hg 3.171 3.171 3.171
```

Output
Spin magnetization = 0.00 Bohr magnetons per cell
Symmetry = Pm-3m, No. 221
D(E_F) = 5.5 states/eV per cell

Out of the structures above, which one is the most stable? Solution: P.